Here is a crystal of LiCo2OF3 relaxed with PBEsol from Alexandria. Energies are from meta-GGA SCAN.

Cell: 5.9146 5.9714 8.1562 Å, 90.00 90.18 90.00°
With the nearest neighbours (Å) after each atom.
Positions (direct):
Li (0.0000, 0.0000, 0.0000)  6 F 2.00-2.04
Li (0.2027, 0.2555, 0.2411)  3 F 1.94-1.99, 2 O 2.07-2.14
Li (0.5000, 0.0108, 0.0000)  6 F 1.96-2.06
Li (0.7973, 0.2555, 0.7589)  3 F 1.94-1.99, 2 O 2.07-2.14
Co (0.0000, 0.5321, 0.5000)  2 O 1.79, 2 F 1.99
Co (0.2550, 0.7291, 0.2511)  1 O 1.93, 5 F 2.03-2.11
Co (0.2739, 0.0648, 0.6151)  1 O 1.80, 2 F 1.93-1.97
Co (0.3473, 0.4952, 0.8915)  1 O 1.81, 2 F 1.94-1.95
Co (0.5000, 0.3917, 0.5000)  4 O 1.80-1.88
Co (0.6527, 0.4952, 0.1085)  1 O 1.81, 2 F 1.94-1.95
Co (0.7261, 0.0648, 0.3849)  1 O 1.80, 2 F 1.93-1.97
Co (0.7450, 0.7291, 0.7489)  1 O 1.93, 5 F 2.03-2.11
O (0.2064, 0.3136, 0.5001)  3 Co 1.79-1.80
O (0.4622, 0.4820, 0.2807)  3 Co 1.81-1.93
O (0.5378, 0.4820, 0.7193)  3 Co 1.81-1.93
O (0.7936, 0.3136, 0.4999)  3 Co 1.79-1.80
F (0.0118, 0.5129, 0.7686)  1 Li 1.99, 3 Co 2.04-2.22
F (0.0143, 0.9905, 0.2444)  2 Li 1.94-2.00, 2 Co 2.10-2.11
F (0.2294, 0.7757, 0.5037)  3 Co 1.97-2.09
F (0.2487, 0.2264, 0.0049)  1 Co 1.94, 3 Li 1.95-2.00
F (0.2521, 0.7681, 0.0026)  2 Co 1.95-2.04, 2 Li 2.04-2.06
F (0.4819, 0.9837, 0.2385)  2 Co 1.93-2.03, 1 Li 1.96
F (0.5181, 0.9837, 0.7615)  2 Co 1.93-2.03, 1 Li 1.96
F (0.7479, 0.7681, 0.9974)  2 Co 1.95-2.04, 2 Li 2.04-2.06
F (0.7513, 0.2264, 0.9951)  1 Co 1.94, 3 Li 1.95-2.00
F (0.7706, 0.7757, 0.4963)  3 Co 1.97-2.09
F (0.9857, 0.9905, 0.7556)  2 Li 1.94-2.00, 2 Co 2.10-2.11
F (0.9882, 0.5129, 0.2314)  1 Li 1.99, 3 Co 2.04-2.22

Results
Crystal system: monoclinic
Space-group type: P2 (3)

---

Here is a crystal of Li5CoOF5 relaxed with PBEsol from Alexandria. Energies are from meta-GGA SCAN.

Cell: 2.8223 2.8223 12.4066 Å, 90.00 90.00 90.00°
With the nearest neighbours (Å) after each atom.
Positions (direct):
Li (0.0000, 0.0000, 0.0000)  6 F 2.00-2.01
Li (0.0000, 0.0000, 0.3268)  5 F 2.00-2.05, 1 O 2.15
Li (0.0000, 0.0000, 0.6732)  5 F 2.00-2.05, 1 O 2.15
Li (0.5000, 0.5000, 0.1607)  6 F 1.99-2.00
Li (0.5000, 0.5000, 0.8393)  6 F 1.99-2.00
Co (0.5000, 0.5000, 0.5000)  4 O 2.00, 2 F 2.21
O (0.0000, 0.0000, 0.5000)  4 Co 2.00, 2 Li 2.15
F (0.0000, 0.0000, 0.1617)  6 Li 2.00-2.05
F (0.0000, 0.0000, 0.8383)  6 Li 2.00-2.05
F (0.5000, 0.5000, 0.0000)  6 Li 1.99-2.00
F (0.5000, 0.5000, 0.3215)  5 Li 2.00, 1 Co 2.21
F (0.5000, 0.5000, 0.6785)  5 Li 2.00, 1 Co 2.21

Results
Crystal system: tetragonal
Space-group type: P4/mmm (123)

---

Here is a crystal of Li3Co3OF7 relaxed with PBEsol from Alexandria. Energies are from meta-GGA SCAN.

Cell: 6.0115 6.0115 6.0115 Å, 57.38 57.38 57.38°
With the nearest neighbours (Å) after each atom.
Positions (direct):
Li (0.0000, 0.0000, 0.0000)  1 O 1.86, 3 F 1.86
Li (0.2565, 0.2565, 0.2565)  4 F 1.89-2.06
Li (0.6188, 0.6188, 0.6188)  6 F 2.00-2.02
Co (0.0913, 0.6487, 0.6487)  1 O 1.90, 5 F 2.05-2.13
Co (0.6487, 0.0913, 0.6487)  1 O 1.90, 5 F 2.05-2.13
Co (0.6487, 0.6487, 0.0913)  1 O 1.90, 5 F 2.05-2.13
O (0.8764, 0.8764, 0.8764)  1 Li 1.86, 3 Co 1.90
F (0.3783, 0.3783, 0.8597)  2 Li 1.89-2.00, 2 Co 2.08
F (0.3783, 0.8597, 0.3783)  2 Li 1.89-2.00, 2 Co 2.08
F (0.3919, 0.8605, 0.8605)  2 Li 1.86-2.02, 2 Co 2.05
F (0.3935, 0.3935, 0.3935)  1 Li 2.06, 3 Co 2.13
F (0.8597, 0.3783, 0.3783)  2 Li 1.89-2.00, 2 Co 2.08
F (0.8605, 0.3919, 0.8605)  2 Li 1.86-2.02, 2 Co 2.05
F (0.8605, 0.8605, 0.3919)  2 Li 1.86-2.02, 2 Co 2.05

Results
Crystal system: trigonal
Space-group type: R3m (160)

---

Here is a crystal of LiCo5O7F relaxed with PBEsol from Alexandria. Energies are from meta-GGA SCAN.

Cell: 5.6261 5.6261 5.6261 Å, 60.32 60.32 60.32°
With the nearest neighbours (Å) after each atom.
Positions (direct):
Li (0.0000, 0.0000, 0.0000)  1 F 1.87, 3 O 1.89
Co (0.3832, 0.3832, 0.3832)  6 O 1.87-1.91
Co (0.3897, 0.3897, 0.8832)  5 O 1.87-1.91, 1 F 2.02
Co (0.3897, 0.8832, 0.3897)  5 O 1.87-1.91, 1 F 2.02
Co (0.7640, 0.7640, 0.7640)  4 O 1.89-1.92
Co (0.8832, 0.3897, 0.3897)  5 O 1.87-1.91, 1 F 2.02
O (0.1488, 0.1488, 0.5901)  3 Co 1.87, 1 Li 1.89
O (0.1488, 0.5901, 0.1488)  3 Co 1.87, 1 Li 1.89
O (0.1729, 0.6214, 0.6214)  4 Co 1.89-1.91
O (0.5901, 0.1488, 0.1488)  3 Co 1.87, 1 Li 1.89
O (0.6214, 0.1729, 0.6214)  4 Co 1.89-1.91
O (0.6214, 0.6214, 0.1729)  4 Co 1.89-1.91
O (0.6245, 0.6245, 0.6245)  4 Co 1.88-1.92
F (0.1364, 0.1364, 0.1364)  1 Li 1.87, 3 Co 2.02

Results
Crystal system: trigonal
Space-group type: R3m (160)

---

Computed values of ΔE_f (raw) (unit: eV/atom) for the preceding records, in sequence: -2.0068, -2.7818, -2.3925, -1.6625.
Computed values of magnetic moment (unit: μB/cell) for the preceding records, in sequence: 20.010, 2.738, 9.000, 3.037.